Arrangement 1

A plane-wave DFT calculation with PBE was carried out for crystalline La2HgPd9 at its relaxed geometry.

Values from the calculation:
* SG: P4/mmm
* magnetization: 0.000 μB per atom

Unit cell a=4.194 b=4.194 c=12.418 alpha=90.00 beta=90.00 gamma=90.00
Sites, in units of the cell vectors:
1 Pd 0.500 0.500 0.669
2 Pd 0.000 0.500 0.841
3 Pd 0.500 0.000 0.159
4 Pd 0.500 0.000 0.500
5 Pd 0.000 0.500 0.500
6 Pd 0.000 0.500 0.159
7 Pd 0.500 0.000 0.841
8 Pd 0.500 0.500 0.000
9 Pd 0.500 0.500 0.331
10 La 0.000 0.000 0.674
11 La 0.000 0.000 0.326
12 Hg 0.000 0.000 0.000



Arrangement 2

A plane-wave DFT calculation with PBE was carried out for crystalline La2HgPd9 at its relaxed geometry.

Values from the calculation:
* SG: R-3m
* magnetization: 0.000 μB per atom

Unit cell a=5.430 b=5.430 c=9.570 alpha=73.52 beta=73.52 gamma=60.00
Sites, in units of the cell vectors:
1 Pd 0.414 0.414 0.253
2 Pd 0.586 0.586 0.747
3 Pd 0.414 0.918 0.253
4 Pd 0.333 0.333 0.001
5 Pd 0.082 0.586 0.747
6 Pd 0.667 0.667 0.999
7 Pd 0.918 0.414 0.253
8 Pd 0.586 0.082 0.747
9 Pd 0.500 0.500 0.500
10 Hg 0.000 0.000 0.000
11 La 0.133 0.133 0.601
12 La 0.867 0.867 0.399



Stability verdict: arrangement 1, ahead by 0.082 eV/atom



Arrangement 1

A plane-wave DFT calculation with PBE was carried out for crystalline LaHgPd3 at its relaxed geometry.

Values from the calculation:
* SG: Cmcm
* magnetization: 0.000 μB per atom

Unit cell a=7.256 b=7.256 c=9.302 alpha=90.00 beta=90.00 gamma=101.44
Sites, in units of the cell vectors:
1 La 0.023 0.023 0.750
2 La 0.595 0.595 0.750
3 La 0.405 0.405 0.250
4 La 0.977 0.977 0.250
5 Pd 0.626 0.374 0.500
6 Pd 0.783 0.783 0.002
7 Pd 0.563 0.819 0.250
8 Pd 0.374 0.626 0.000
9 Pd 0.374 0.626 0.500
10 Pd 0.217 0.217 0.502
11 Pd 0.437 0.181 0.750
12 Pd 0.819 0.563 0.250
13 Pd 0.626 0.374 0.000
14 Pd 0.181 0.437 0.750
15 Pd 0.783 0.783 0.498
16 Pd 0.217 0.217 0.998
17 Hg 0.000 0.500 0.000
18 Hg 0.000 0.500 0.500
19 Hg 0.500 0.000 0.500
20 Hg 0.500 0.000 0.000



Arrangement 2

A plane-wave DFT calculation with PBE was carried out for crystalline LaHgPd3 at its relaxed geometry.

Values from the calculation:
* SG: Pm-3m
* magnetization: 0.000 μB per atom

Unit cell a=5.036 b=5.036 c=5.036 alpha=90.00 beta=90.00 gamma=90.00
Sites, in units of the cell vectors:
1 Pd 0.500 0.000 0.000
2 Pd 0.000 0.000 0.500
3 Pd 0.000 0.500 0.000
4 Hg 0.000 0.000 0.000
5 La 0.500 0.500 0.500



Stability verdict: arrangement 1, ahead by 0.458 eV/atom



Arrangement 1

A plane-wave DFT calculation with PBE was carried out for crystalline LaTl2HgPd at its relaxed geometry.

Values from the calculation:
* SG: P4/mmm
* magnetization: 0.000 μB per atom

Unit cell a=5.344 b=5.344 c=5.413 alpha=90.00 beta=90.00 gamma=90.00
Sites, in units of the cell vectors:
1 Tl 0.000 0.500 0.000
2 Tl 0.500 0.000 0.000
3 Pd 0.000 0.000 0.000
4 La 0.000 0.000 0.500
5 Hg 0.500 0.500 0.500



Arrangement 2

A plane-wave DFT calculation with PBE was carried out for crystalline LaTl2HgPd at its relaxed geometry.

Values from the calculation:
* SG: P4/mmm
* magnetization: 0.000 μB per atom

Unit cell a=6.108 b=5.877 c=6.108 alpha=90.00 beta=90.00 gamma=90.00
Sites, in units of the cell vectors:
1 Pd 0.500 0.500 0.500
2 Hg 0.000 0.500 0.000
3 Tl 0.500 0.000 0.000
4 Tl 0.000 0.000 0.500
5 La 0.000 0.000 0.000



Stability verdict: arrangement 1, ahead by 1.110 eV/atom



Arrangement 1

A plane-wave DFT calculation with PBE was carried out for crystalline LaPm3Hg2 at its relaxed geometry.

Values from the calculation:
* SG: Pmc2_1
* magnetization: 0.000 μB per atom

Unit cell a=5.252 b=7.293 c=9.636 alpha=90.00 beta=90.00 gamma=90.00
Sites, in units of the cell vectors:
1 Pm 0.000 0.333 0.324
2 Pm 0.500 0.169 0.830
3 Pm 0.500 0.669 0.170
4 Pm 0.000 0.833 0.676
5 Pm 0.000 0.986 0.057
6 Pm 0.000 0.486 0.943
7 La 0.500 0.013 0.442
8 La 0.500 0.513 0.558
9 Hg 0.000 0.260 0.650
10 Hg 0.500 0.739 0.853
11 Hg 0.000 0.760 0.350
12 Hg 0.500 0.239 0.147



Arrangement 2

A plane-wave DFT calculation with PBE was carried out for crystalline LaPm3Hg2 at its relaxed geometry.

Values from the calculation:
* SG: P4/mmm
* magnetization: 0.059 μB per atom

Unit cell a=3.785 b=3.785 c=12.663 alpha=90.00 beta=90.00 gamma=90.00
Sites, in units of the cell vectors:
1 Pm 0.000 0.000 0.301
2 Pm 0.000 0.000 0.000
3 Pm 0.000 0.000 0.699
4 La 0.500 0.500 0.500
5 Hg 0.500 0.500 0.154
6 Hg 0.500 0.500 0.846



Stability verdict: arrangement 1, ahead by 0.012 eV/atom



Arrangement 1

A plane-wave DFT calculation with PBE was carried out for crystalline La6PmHg at its relaxed geometry.

Values from the calculation:
* SG: P4/mmm
* magnetization: 0.000 μB per atom

Unit cell a=5.108 b=5.108 c=10.372 alpha=90.00 beta=90.00 gamma=90.00
Sites, in units of the cell vectors:
1 La 0.500 0.500 0.000
2 La 0.000 0.500 0.744
3 La 0.000 0.500 0.256
4 La 0.500 0.500 0.500
5 La 0.500 0.000 0.744
6 La 0.500 0.000 0.256
7 Hg 0.000 0.000 0.500
8 Pm 0.000 0.000 0.000



Arrangement 2

A plane-wave DFT calculation with PBE was carried out for crystalline La6PmHg at its relaxed geometry.

Values from the calculation:
* SG: P-1
* magnetization: 0.105 μB per atom

Unit cell a=6.744 b=6.751 c=8.992 alpha=67.87 beta=68.06 gamma=59.98
Sites, in units of the cell vectors:
1 La 0.562 0.207 0.274
2 La 0.207 0.959 0.274
3 La 0.438 0.793 0.726
4 La 0.043 0.438 0.725
5 La 0.957 0.562 0.275
6 La 0.793 0.041 0.726
7 Pm 0.500 0.500 0.500
8 Hg 0.000 0.000 0.000



Stability verdict: arrangement 1, ahead by 0.359 eV/atom



Arrangement 1

A plane-wave DFT calculation with PBE was carried out for crystalline La2PmHg4 at its relaxed geometry.

Values from the calculation:
* SG: R-3m
* magnetization: 0.000 μB per atom

Unit cell a=5.286 b=5.286 c=9.615 alpha=74.05 beta=74.05 gamma=60.00
Sites, in units of the cell vectors:
1 La 0.244 0.244 0.269
2 La 0.756 0.756 0.731
3 Hg 0.126 0.126 0.622
4 Hg 0.629 0.629 0.114
5 Hg 0.874 0.874 0.378
6 Hg 0.371 0.371 0.886
7 Pm 0.000 0.000 0.000



Arrangement 2

A plane-wave DFT calculation with PBE was carried out for crystalline La2PmHg4 at its relaxed geometry.

Values from the calculation:
* SG: I4/mmm
* magnetization: 0.000 μB per atom

Unit cell a=5.753 b=5.753 c=8.982 alpha=108.68 beta=108.68 gamma=90.00
Sites, in units of the cell vectors:
1 Pm 0.000 0.000 0.000
2 La 0.606 0.606 0.213
3 La 0.394 0.394 0.787
4 Hg 0.193 0.193 0.385
5 Hg 0.500 0.000 0.000
6 Hg 0.000 0.500 0.000
7 Hg 0.807 0.807 0.615



Stability verdict: arrangement 1, ahead by 0.298 eV/atom



Arrangement 1

A plane-wave DFT calculation with PBE was carried out for crystalline LaPmHgRh at its relaxed geometry.

Values from the calculation:
* SG: R3m
* magnetization: 0.000 μB per atom

Unit cell a=4.163 b=4.164 c=8.124 alpha=90.00 beta=104.83 gamma=120.00
Sites, in units of the cell vectors:
1 Pm 0.106 0.951 0.072
2 Rh 0.301 0.548 0.865
3 Hg 0.966 0.381 0.361
4 La 0.505 0.150 0.671



Arrangement 2

A plane-wave DFT calculation with PBE was carried out for crystalline LaPmHgRh at its relaxed geometry.

Values from the calculation:
* SG: F-43m
* magnetization: 0.000 μB per atom

Unit cell a=5.249 b=5.249 c=5.249 alpha=60.00 beta=60.00 gamma=60.00
Sites, in units of the cell vectors:
1 Pm 0.250 0.250 0.250
2 La 0.750 0.750 0.750
3 Rh 0.000 0.000 0.000
4 Hg 0.500 0.500 0.500



Stability verdict: arrangement 1, ahead by 0.061 eV/atom



Arrangement 1

A plane-wave DFT calculation with PBE was carried out for crystalline LaPmSmHg at its relaxed geometry.

Values from the calculation:
* SG: P4mm
* magnetization: 0.000 μB per atom

Unit cell a=3.765 b=3.765 c=8.812 alpha=90.00 beta=90.00 gamma=90.00
Sites, in units of the cell vectors:
1 La 0.000 0.000 0.070
2 Sm 0.500 0.500 0.788
3 Hg 0.000 0.000 0.573
4 Pm 0.500 0.500 0.353



Arrangement 2

A plane-wave DFT calculation with PBE was carried out for crystalline LaPmSmHg at its relaxed geometry.

Values from the calculation:
* SG: F-43m
* magnetization: 0.001 μB per atom

Unit cell a=5.577 b=5.577 c=5.577 alpha=60.00 beta=60.00 gamma=60.00
Sites, in units of the cell vectors:
1 Pm 0.000 0.000 0.000
2 Hg 0.500 0.500 0.500
3 Sm 0.750 0.750 0.750
4 La 0.250 0.250 0.250



Stability verdict: arrangement 1, ahead by 0.163 eV/atom